1.
# Tl2GaCl3

Tl2GaCl3 after structural relaxation (PBE, Alexandria).

For the uncorrected formation energy, the calculation gives -0.896 eV per atom. The total magnetization is 0.00 μB/f.u.

Lattice parameters (Å, degrees): 4.4690 6.3973 7.8297 114.11 106.58 90.00
Last column: nearest neighbours and their distance in Å.
Sites, in units of the cell vectors:
Tl 0.6678 0.1678 0.3355  6 Cl 3.19-3.30
Tl 0.3322 0.8322 0.6645  6 Cl 3.19-3.30
Ga 0.0000 0.5000 0.0000  6 Cl 3.05-3.20
Cl 0.3469 0.3469 0.6938  2 Ga 3.05, 4 Tl 3.20-3.30
Cl 0.0000 0.0000 0.0000  4 Tl 3.19, 2 Ga 3.20
Cl 0.6531 0.6531 0.3062  2 Ga 3.05, 4 Tl 3.20-3.30


2.
# Te3S

Te3S after structural relaxation (PBE, Alexandria).

For the uncorrected formation energy, the calculation gives 0.228 eV per atom. The total magnetization is 0.00 μB/f.u.

Lattice parameters (Å, degrees): 4.3570 4.3569 6.1003 90.00 90.00 90.00
Last column: nearest neighbours and their distance in Å.
Sites, in units of the cell vectors:
S 0.0000 0.8334 0.0000  6 Te 3.05-3.08
Te 0.5000 0.3337 0.0000  2 Te 3.05, 4 S 3.08
Te 0.5000 0.3332 0.5000  6 Te 3.05-3.08
Te 0.0000 0.8331 0.5000  2 S 3.05, 4 Te 3.08